No. 1
Pm5NdHg3 | Alexandria via LeMat-Bulk | GGA-PBE | relaxed; DFT total energy = -0.26085 Ry/atom; mass density = 9.1 Mg/m³; formation energy = -0.2794 eV per atom; symmetry = P6_3/mcm
1.0
7.089 0.000 0.000
0.000 9.334 0.000
0.000 -4.667 8.083
Pm Hg Nd
10 6 2
Cartesian
5.317 7.784 2.683
0.000 4.667 2.696
0.000 0.000 5.388
5.317 3.117 5.400
1.772 6.235 0.000
3.544 0.000 5.388
1.772 1.550 2.683
1.772 -3.117 5.400
3.544 4.667 2.696
5.317 3.100 0.000
5.317 1.567 2.714
1.772 3.134 0.000
5.317 6.200 0.000
1.772 7.767 2.714
1.772 3.100 5.370
5.317 -3.100 5.370
3.544 0.000 0.000
0.000 0.000 0.000



No. 2
PmNd3Hg2 | Alexandria via LeMat-Bulk | GGA-PBE | relaxed; DFT total energy = -0.24666 Ry/atom; ΔE to the lowest computed polymorph = 0.249 eV per atom; mass density = 7.7 Mg/m³; formation energy = -0.0798 eV per atom; symmetry = Ibam
1.0
-5.618 1.550 -4.511
-4.265 -5.333 3.479
2.472 7.021 5.353
Nd Hg Pm
6 4 2
Cartesian
-6.007 -3.225 0.354
-3.875 -0.558 -1.386
-5.220 2.236 1.249
-2.190 1.001 3.071
-3.088 4.903 -0.490
-4.322 -1.665 4.810
-4.615 2.510 -1.810
-4.508 -0.774 1.728
-2.795 0.727 6.130
-2.902 4.012 2.593
0.000 0.000 0.000
-2.132 -2.667 1.739



No. 3
Pm2Nd3Hg4 | Alexandria via LeMat-Bulk | GGA-PBE | relaxed; DFT total energy = -0.22676 Ry/atom; mass density = 9.3 Mg/m³; formation energy = -0.3062 eV per atom; symmetry = Cmce
1.0
-5.922 3.793 0.361
-4.457 -6.994 0.381
3.597 -1.793 9.159
Hg Nd Pm
8 6 4
Cartesian
-4.275 -4.208 8.423
-1.314 -6.104 8.242
-4.104 -6.731 3.417
-2.678 1.738 6.484
-5.467 1.111 1.659
-2.507 -0.786 1.478
-5.127 -1.795 3.432
-1.654 -3.199 6.469
-5.189 -1.600 0.371
-1.531 -6.140 5.058
-5.251 1.146 4.843
0.000 0.000 0.000
-4.492 -4.243 5.239
-2.290 -0.750 4.662
0.138 -0.510 7.611
-4.295 -0.923 7.917
-6.920 -4.484 2.290
-2.487 -4.071 1.984



No. 4
Pm7NdHg2 | Alexandria via LeMat-Bulk | GGA-PBE | relaxed; DFT total energy = -0.26487 Ry/atom; mass density = 6.6 Mg/m³; formation energy = 0.2589 eV per atom; symmetry = Cmmm
1.0
-2.401 4.133 2.562
3.903 -2.566 7.797
4.363 5.876 -5.390
Pm Hg Nd
7 2 1
Cartesian
2.933 3.721 2.484
0.364 3.689 0.130
5.613 5.790 1.658
0.253 1.652 3.311
5.502 3.754 4.839
4.256 3.899 -2.301
4.011 -0.588 4.708
2.844 2.082 5.045
3.022 5.361 -0.077
0.000 0.000 0.000